Record 1
TlHgSe: single point on PBEsol structure, SCAN.

Cell and atoms, written as CIF:
```
data_TlHgSe
_chemical_formula_sum 'Tl1 Hg1 Se1'
_cell_length_a 3.2275
_cell_length_b 3.2275
_cell_length_c 8.3115
_cell_angle_alpha 90.00
_cell_angle_beta 90.00
_cell_angle_gamma 120.00
_symmetry_space_group_name_H-M 'P 3 m 1'
_symmetry_Int_Tables_number 156
loop_
_symmetry_equiv_pos_as_xyz
'x,y,z'
'-y,x-y,z'
'-x+y,-x,z'
'-y,-x,z'
'-x+y,y,z'
'x,x-y,z'
loop_
_atom_site_label
_atom_site_fract_x
_atom_site_fract_y
_atom_site_fract_z
Tl1 0.0000 0.0000 0.0000
Hg1 0.3333 0.6667 0.6375
Se1 0.6667 0.3333 0.3032
```

Results
V   24.993 Å³ per atom
Total energy   -53.3810 eV/atom
Density of states at the Fermi level   0.40 states/eV per atom
Uncorrected formation energy   0.1533 eV/atom

---

Record 2
K3NaBi: single point on PBEsol structure, SCAN.

Cell and atoms, written as CIF:
```
data_K3NaBi
_chemical_formula_sum 'K3 Na1 Bi1'
_cell_length_a 6.7968
_cell_length_b 6.7968
_cell_length_c 6.7968
_cell_angle_alpha 90.00
_cell_angle_beta 90.00
_cell_angle_gamma 90.00
_symmetry_space_group_name_H-M 'P m -3 m'
_symmetry_Int_Tables_number 221
_symmetry_space_group_name_Hall '-P 4 2 3'
loop_
_atom_site_label
_atom_site_fract_x
_atom_site_fract_y
_atom_site_fract_z
K1 0.0000 0.0000 0.5000
Na1 0.5000 0.5000 0.5000
Bi1 0.0000 0.0000 0.0000
```

Results
V   62.799 Å³ per atom
Total energy   -21.6771 eV/atom
ΔE_f   -0.60 eV per formula unit
Density of states at the Fermi level   0.46 states/eV per atom

---

Record 3
CdHgSe2: single point on PBEsol structure, SCAN.

Cell and atoms, written as CIF:
```
data_CdHgSe2
_chemical_formula_sum 'Cd3 Hg3 Se6'
_cell_length_a 3.3323
_cell_length_b 3.3323
_cell_length_c 30.0071
_cell_angle_alpha 90.00
_cell_angle_beta 90.00
_cell_angle_gamma 120.00
_symmetry_space_group_name_H-M 'R -3 m'
_symmetry_Int_Tables_number 166
_symmetry_space_group_name_Hall '-R 3 2"'
loop_
_atom_site_label
_atom_site_fract_x
_atom_site_fract_y
_atom_site_fract_z
Cd1 0.0000 0.0000 0.0000
Hg1 0.0000 0.0000 0.5000
Se1 0.0000 0.0000 0.2675
```

Results
V   24.048 Å³ per atom
Total energy   -34.5902 eV/atom
Density of states at the Fermi level   0.59 states/eV per atom
Uncorrected formation energy   0.0941 eV/atom
ΔE to the lowest computed polymorph   538.2 meV per atom

---

Repeat the third record exactly.
CdHgSe2: single point on PBEsol structure, SCAN.

Cell and atoms, written as CIF:
```
data_CdHgSe2
_chemical_formula_sum 'Cd3 Hg3 Se6'
_cell_length_a 3.3323
_cell_length_b 3.3323
_cell_length_c 30.0071
_cell_angle_alpha 90.00
_cell_angle_beta 90.00
_cell_angle_gamma 120.00
_symmetry_space_group_name_H-M 'R -3 m'
_symmetry_Int_Tables_number 166
_symmetry_space_group_name_Hall '-R 3 2"'
loop_
_atom_site_label
_atom_site_fract_x
_atom_site_fract_y
_atom_site_fract_z
Cd1 0.0000 0.0000 0.0000
Hg1 0.0000 0.0000 0.5000
Se1 0.0000 0.0000 0.2675
```

Results
V   24.048 Å³ per atom
Total energy   -34.5902 eV/atom
Density of states at the Fermi level   0.59 states/eV per atom
Uncorrected formation energy   0.0941 eV/atom
ΔE to the lowest computed polymorph   538.2 meV per atom

---

Q: Which value of total energy does entry 2 give?
A: -21.6771 eV/atom

---

Q: Which formula does entry 1 have?
A: TlHgSe